First-principles (PBE-GGA) data for a relaxed structure of Sm8ZnTe4Se3, as listed in Alexandria.

Computed properties:
D(E_F) in states/eV/f.u.: 9.07
Formation energy from raw total energies in eV/atom: -1.433
Density in g/cm3: 7.328
Size of the total moment in μB per cell: 0.00

Cell: 8.5641 8.5641 21.5714 Å, 90.00 90.00 120.00°
Space group R-3m (No. 166, hexagonal axes)
Symmetry-distinct sites (fractional):
Sm 0.0000 0.0000 0.2401
Sm 0.0042 0.5021 0.2416
Zn 0.0000 0.0000 0.5000
Te 0.0000 0.0000 0.0000
Te 0.0000 0.5000 0.0000
Se 0.0000 0.5000 0.5000

First-principles (PBE-GGA) data for a relaxed structure of Sm6ZnTe3Se2, as listed in Alexandria.

Computed properties:
D(E_F) in states/eV/f.u.: 5.17
Formation energy from raw total energies in eV/atom: -1.377
Density in g/cm3: 7.281
Size of the total moment in μB per cell: 0.00

Cell: 7.438 12.852 7.608 Å, 90.00 108.93 90.00°
Space group C2/m (No. 12)
Symmetry-distinct sites (fractional):
Sm 0.239 0.164 0.226
Sm 0.247 0.500 0.225
Zn 0.000 0.000 0.000
Te 0.000 0.169 0.500
Te 0.000 0.500 0.500
Se 0.000 0.334 0.000

First-principles (PBE-GGA) data for a relaxed structure of Sm2ThSe4, as listed in Alexandria.

Computed properties:
D(E_F) in states/eV/f.u.: 3.84
Formation energy from raw total energies in eV/atom: -1.744
Density in g/cm3: 7.207
Excess energy over the best structure of this formula in the dataset in eV/f.u.: 0.38
Size of the total moment in μB per cell: 0.00

Cell: 4.087 13.780 13.889 Å, 90.00 90.00 90.00°
Space group Cmcm (No. 63)
Symmetry-distinct sites (fractional):
Sm 0.000 0.134 0.068
Th 0.000 0.373 0.250
Se 0.000 0.028 0.250
Se 0.000 0.224 0.626
Se 0.000 0.500 0.000